*one*
The following is a PBE calculation of a geometry-optimized SiHgSN2 structure, from Alexandria.

Cell lengths 3.523, 3.523, 6.250 Å; angles 90.00, 90.00, 90.00 degrees
Sites, in units of the cell vectors:
S1 0.000 0.000 0.500
Si1 0.000 0.000 0.000
Hg1 0.500 0.500 0.500
N1 0.000 0.500 0.000
N2 0.500 0.000 0.000

*two*
The following is a PBE calculation of a geometry-optimized SiHgSN2 structure, from Alexandria.

Cell lengths 4.168, 4.168, 5.723 Å; angles 90.00, 90.00, 90.00 degrees
Site moments in Bohr magnetons follow the coordinates.
Sites, in units of the cell vectors:
S1 0.000 0.000 0.500  0.18
Si1 0.500 0.500 0.500  -0.08
Hg1 0.000 0.000 0.000  0.14
N1 0.000 0.500 0.000  1.05
N2 0.500 0.000 0.000  1.05

Which one is most stable, and which one is least stable? *one* is the most stable of them, while *two* is the least stable.

*one*
The following is a PBE calculation of a geometry-optimized SnHgS2N structure, from Alexandria.

Cell lengths 5.184, 5.184, 4.175 Å; angles 90.00, 90.00, 90.00 degrees
Site moments in Bohr magnetons follow the coordinates.
Sites, in units of the cell vectors:
S1 0.000 0.500 0.000  0.12
S2 0.500 0.000 0.000  0.12
N1 0.000 0.000 0.500  1.09
Hg1 0.000 0.000 0.000  0.06
Sn1 0.500 0.500 0.500  -0.01

*two*
The following is a PBE calculation of a geometry-optimized SnHgS2N structure, from Alexandria.

Cell lengths 5.146, 5.146, 4.081 Å; angles 90.00, 90.00, 90.00 degrees
Site moments in Bohr magnetons follow the coordinates.
Sites, in units of the cell vectors:
S1 0.000 0.500 0.000  0.12
S2 0.500 0.000 0.000  0.12
N1 0.000 0.000 0.500  0.81
Hg1 0.500 0.500 0.500  -0.02
Sn1 0.000 0.000 0.000  -0.05

Which one is most stable, and which one is least stable? *two* is the most stable of them, while *one* is the least stable.

*one*
The following is a PBE calculation of a geometry-optimized SnHgSN2 structure, from Alexandria.

Cell lengths 4.321, 4.321, 5.398 Å; angles 90.00, 90.00, 90.00 degrees
Site moments in Bohr magnetons follow the coordinates.
Sites, in units of the cell vectors:
S1 0.000 0.000 0.500  0.15
N1 0.000 0.500 0.000  1.00
N2 0.500 0.000 0.000  1.00
Hg1 0.000 0.000 0.000  0.10
Sn1 0.500 0.500 0.500  -0.07

*two*
The following is a PBE calculation of a geometry-optimized SnHgSN2 structure, from Alexandria.

Cell lengths 4.142, 4.142, 5.504 Å; angles 90.00, 90.00, 90.00 degrees
Site moments in Bohr magnetons follow the coordinates.
Sites, in units of the cell vectors:
S1 0.000 0.000 0.500  0.08
N1 0.000 0.500 0.000  0.85
N2 0.500 0.000 0.000  0.85
Hg1 0.500 0.500 0.500  0.01
Sn1 0.000 0.000 0.000  -0.06

Which one is most stable, and which one is least stable? *two* is the most stable of them, while *one* is the least stable.

*one*
The following is a PBE calculation of a geometry-optimized TcHgSN2 structure, from Alexandria.

Cell lengths 3.846, 3.846, 5.289 Å; angles 90.00, 90.00, 90.00 degrees
Sites, in units of the cell vectors:
S1 0.000 0.000 0.500
N1 0.000 0.500 0.000
N2 0.500 0.000 0.000
Hg1 0.500 0.500 0.500
Tc1 0.000 0.000 0.000

*two*
The following is a PBE calculation of a geometry-optimized TcHgSN2 structure, from Alexandria.

Cell lengths 4.021, 4.021, 6.380 Å; angles 90.00, 90.00, 90.00 degrees
Site moments in Bohr magnetons follow the coordinates.
Sites, in units of the cell vectors:
S1 0.000 0.000 0.500  0.11
N1 0.000 0.500 0.000  0.91
N2 0.500 0.000 0.000  0.91
Hg1 0.000 0.000 0.000  0.09
Tc1 0.500 0.500 0.500  3.68

Which one is most stable, and which one is least stable? *one* is the most stable of them, while *two* is the least stable.

*one*
The following is a PBE calculation of a geometry-optimized YHgS2N structure, from Alexandria.

Cell lengths 5.020, 5.020, 4.159 Å; angles 90.00, 90.00, 90.00 degrees
Site moments in Bohr magnetons follow the coordinates.
Sites, in units of the cell vectors:
Y1 0.500 0.500 0.500  -0.07
S1 0.000 0.500 0.000  0.05
S2 0.500 0.000 0.000  0.05
Hg1 0.000 0.000 0.000  0.03
N1 0.000 0.000 0.500  0.63

*two*
The following is a PBE calculation of a geometry-optimized YHgS2N structure, from Alexandria.

Cell lengths 5.332, 5.332, 4.543 Å; angles 90.00, 90.00, 90.00 degrees
Site moments in Bohr magnetons follow the coordinates.
Sites, in units of the cell vectors:
Y1 0.000 0.000 0.000  0.00
S1 0.000 0.500 0.000  0.16
S2 0.500 0.000 0.000  0.16
Hg1 0.500 0.500 0.500  -0.01
N1 0.000 0.000 0.500  1.21

Which one is most stable, and which one is least stable? *two* is the most stable of them, while *one* is the least stable.

*one*
The following is a PBE calculation of a geometry-optimized ZrHgSN2 structure, from Alexandria.

Cell lengths 4.145, 4.145, 4.858 Å; angles 90.00, 90.00, 90.00 degrees
Sites, in units of the cell vectors:
S1 0.000 0.000 0.500
Hg1 0.000 0.000 0.000
Zr1 0.500 0.500 0.500
N1 0.000 0.500 0.000
N2 0.500 0.000 0.000

*two*
The following is a PBE calculation of a geometry-optimized ZrHgSN2 structure, from Alexandria.

Cell lengths 4.124, 4.124, 5.564 Å; angles 90.00, 90.00, 90.00 degrees
Site moments in Bohr magnetons follow the coordinates.
Sites, in units of the cell vectors:
S1 0.000 0.000 0.500  0.01
Hg1 0.500 0.500 0.500  0.00
Zr1 0.000 0.000 0.000  -0.02
N1 0.000 0.500 0.000  0.09
N2 0.500 0.000 0.000  0.09

Which one is most stable, and which one is least stable? *two* is the most stable of them, while *one* is the least stable.

*one*
The following is a PBE calculation of a geometry-optimized HgSbN structure, from Alexandria.

Cell lengths 3.440, 7.274, 6.316 Å; angles 67.47, 90.00, 89.99 degrees
Sites, in units of the cell vectors:
Sb1 0.750 0.981 0.726
Sb2 0.250 0.019 0.274
N1 0.750 0.145 0.362
N2 0.250 0.855 0.638
Hg1 0.750 0.568 0.245
Hg2 0.250 0.432 0.755

*two*
The following is a PBE calculation of a geometry-optimized HgSbN structure, from Alexandria.

Cell lengths 15.239, 6.203, 3.285 Å; angles 90.10, 115.53, 108.26 degrees
Sites, in units of the cell vectors:
Hg1 0.782 0.737 0.064
Hg2 0.282 0.738 0.064
Hg3 0.718 0.262 0.936
Hg4 0.218 0.263 0.936
Sb1 0.021 0.774 0.040
Sb2 0.521 0.774 0.040
Sb3 0.479 0.226 0.960
Sb4 0.979 0.226 0.960
N1 0.877 0.136 0.255
N2 0.377 0.137 0.255
N3 0.623 0.863 0.745
N4 0.123 0.864 0.745

Which one is most stable, and which one is least stable? *one* is the most stable of them, while *two* is the least stable.

*one*
The following is a PBE calculation of a geometry-optimized HgSb3N structure, from Alexandria.

Cell lengths 4.834, 4.834, 4.834 Å; angles 90.00, 90.00, 90.00 degrees
Sites, in units of the cell vectors:
Sb1 0.000 0.500 0.000
Sb2 0.000 0.000 0.500
Sb3 0.500 0.000 0.000
Hg1 0.500 0.500 0.500
N1 0.000 0.000 0.000

*two*
The following is a PBE calculation of a geometry-optimized HgSb3N structure, from Alexandria.

Cell lengths 5.519, 5.519, 5.519 Å; angles 90.00, 90.00, 90.00 degrees
Sites, in units of the cell vectors:
Sb1 0.000 0.500 0.000
Sb2 0.000 0.000 0.500
Sb3 0.500 0.000 0.000
Hg1 0.000 0.000 0.000
N1 0.500 0.500 0.500

Which one is most stable, and which one is least stable? *one* is the most stable of them, while *two* is the least stable.

*one*
The following is a PBE calculation of a geometry-optimized ScHg3N structure, from Alexandria.

Cell lengths 5.757, 5.757, 5.757 Å; angles 90.00, 90.00, 90.00 degrees
Site moments in Bohr magnetons follow the coordinates.
Sites, in units of the cell vectors:
Sc1 0.000 0.000 0.000  0.40
Hg1 0.000 0.500 0.000  0.03
Hg2 0.000 0.000 0.500  0.01
Hg3 0.500 0.000 0.000  0.04
N1 0.500 0.500 0.500  -1.74

*two*
The following is a PBE calculation of a geometry-optimized ScHg3N structure, from Alexandria.

Cell lengths 4.754, 4.754, 4.754 Å; angles 90.00, 90.00, 90.00 degrees
Sites, in units of the cell vectors:
Sc1 0.500 0.500 0.500
Hg1 0.000 0.500 0.000
Hg2 0.000 0.000 0.500
Hg3 0.500 0.000 0.000
N1 0.000 0.000 0.000

Which one is most stable, and which one is least stable? *two* is the most stable of them, while *one* is the least stable.

*one*
The following is a PBE calculation of a geometry-optimized ScHgSeN2 structure, from Alexandria.

Cell lengths 4.250, 4.250, 5.553 Å; angles 90.00, 90.00, 90.00 degrees
Site moments in Bohr magnetons follow the coordinates.
Sites, in units of the cell vectors:
Sc1 0.000 0.000 0.000  0.00
Hg1 0.500 0.500 0.500  0.00
Se1 0.000 0.000 0.500  0.13
N1 0.000 0.500 0.000  1.04
N2 0.500 0.000 0.000  1.04

*two*
The following is a PBE calculation of a geometry-optimized ScHgSeN2 structure, from Alexandria.

Cell lengths 4.156, 4.156, 5.578 Å; angles 90.00, 90.00, 90.00 degrees
Site moments in Bohr magnetons follow the coordinates.
Sites, in units of the cell vectors:
Sc1 0.500 0.500 0.500  -0.30
Hg1 0.000 0.000 0.000  0.06
Se1 0.000 0.000 0.500  0.12
N1 0.000 0.500 0.000  0.70
N2 0.500 0.000 0.000  0.70

Which one is most stable, and which one is least stable? *one* is the most stable of them, while *two* is the least stable.

*one*
The following is a PBE calculation of a geometry-optimized ScHgSe2N structure, from Alexandria.

Cell lengths 5.282, 5.282, 4.185 Å; angles 90.00, 90.00, 90.00 degrees
Site moments in Bohr magnetons follow the coordinates.
Sites, in units of the cell vectors:
Sc1 0.000 0.000 0.000  -0.01
Hg1 0.500 0.500 0.500  -0.01
Se1 0.000 0.500 0.000  0.14
Se2 0.500 0.000 0.000  0.14
N1 0.000 0.000 0.500  1.00

*two*
The following is a PBE calculation of a geometry-optimized ScHgSe2N structure, from Alexandria.

Cell lengths 5.313, 5.313, 4.096 Å; angles 90.00, 90.00, 90.00 degrees
Site moments in Bohr magnetons follow the coordinates.
Sites, in units of the cell vectors:
Sc1 0.500 0.500 0.500  -0.38
Hg1 0.000 0.000 0.000  0.03
Se1 0.000 0.500 0.000  0.08
Se2 0.500 0.000 0.000  0.08
N1 0.000 0.000 0.500  0.85

Which one is most stable, and which one is least stable? *one* is the most stable of them, while *two* is the least stable.

*one*
The following is a PBE calculation of a geometry-optimized ScHgTe2N structure, from Alexandria.

Cell lengths 5.796, 5.796, 3.950 Å; angles 90.00, 90.00, 90.00 degrees
Sites, in units of the cell vectors:
Sc1 0.000 0.000 0.000
Te1 0.000 0.500 0.000
Te2 0.500 0.000 0.000
Hg1 0.500 0.500 0.500
N1 0.000 0.000 0.500

*two*
The following is a PBE calculation of a geometry-optimized ScHgTe2N structure, from Alexandria.

Cell lengths 5.714, 5.714, 4.104 Å; angles 90.00, 90.00, 90.00 degrees
Site moments in Bohr magnetons follow the coordinates.
Sites, in units of the cell vectors:
Sc1 0.500 0.500 0.500  0.17
Te1 0.000 0.500 0.000  0.06
Te2 0.500 0.000 0.000  0.06
Hg1 0.000 0.000 0.000  0.04
N1 0.000 0.000 0.500  0.88

Which one is most stable, and which one is least stable? *one* is the most stable of them, while *two* is the least stable.

*one*
The following is a PBE calculation of a geometry-optimized Hg2SeN structure, from Alexandria.

Cell lengths 4.895, 4.895, 4.895 Å; angles 60.00, 60.00, 60.00 degrees
Site moments in Bohr magnetons follow the coordinates.
Sites, in units of the cell vectors:
Hg1 0.250 0.250 0.250  0.05
Hg2 0.750 0.750 0.750  0.05
Se1 0.500 0.500 0.500  0.14
N1 0.000 0.000 0.000  1.46

*two*
The following is a PBE calculation of a geometry-optimized Hg2SeN structure, from Alexandria.

Cell lengths 5.790, 5.790, 6.873 Å; angles 65.09, 65.09, 90.00 degrees
Sites, in units of the cell vectors:
Hg1 0.545 0.125 0.250
Hg2 0.205 0.625 0.250
Hg3 0.375 0.455 0.750
Hg4 0.875 0.795 0.750
Se1 0.000 0.000 0.000
Se2 0.750 0.250 0.500
N1 0.500 0.500 0.000
N2 0.250 0.750 0.500

Which one is most stable, and which one is least stable? *two* is the most stable of them, while *one* is the least stable.